(1)
Computed, not measured: a PBEsol-optimized structure of TaIr2W at the meta-GGA SCAN level of DFT.

a = 2.7947 Å, b = 3.8843 Å, c = 5.5797 Å
α = 90.00°, β = 90.00°, γ = 90.00°
Last column: nearest neighbours and their distance in Å.
Sites, in units of the cell vectors:
Ir  0.0000  0.0000  0.7447  4 Ir 2.73-2.85, 4 W 2.75, 4 Ta 2.78
Ir  0.0000  0.0000  0.2553  4 Ir 2.73-2.85, 4 W 2.75, 4 Ta 2.78
W  0.5000  0.5000  0.5000  8 Ir 2.75, 2 Ta 2.79, 2 W 2.79
Ta  0.5000  0.5000  0.0000  8 Ir 2.78, 2 W 2.79, 2 Ta 2.79

Values from the calculation:
DFT formation energy (eV/atom): -0.55
Fermi-level density of states (states/eV/f.u.): 2.587
Final energy (eV per atom): -70.170
Density (Mg/m³): 20.54
Distance to the lowest polymorph of the same formula (meV per atom): 7.0

=====

(2)
Computed, not measured: a PBEsol-optimized structure of LiMoW at the meta-GGA SCAN level of DFT.

a = 2.5307 Å, b = 4.3672 Å, c = 4.7264 Å
α = 117.52°, β = 105.53°, γ = 90.00°
Last column: nearest neighbours and their distance in Å.
Sites, in units of the cell vectors:
Li  0.9996  0.9996  0.9993  2 Li 2.53, 1 Mo 2.66, 1 W 2.67
Mo  0.6669  0.6669  0.3338  2 Mo 2.53, 1 Li 2.66, 1 W 2.66
W  0.3335  0.3335  0.6669  2 W 2.53, 1 Mo 2.66, 1 Li 2.67

Values from the calculation:
DFT formation energy (eV/atom): 0.42
Fermi-level density of states (states/eV/f.u.): 1.968
Final energy (eV per atom): -35.238
Density (Mg/m³): 10.78
Distance to the lowest polymorph of the same formula (meV per atom): 52.1

=====

(3)
Computed, not measured: a PBEsol-optimized structure of ZrCdAg2 at the meta-GGA SCAN level of DFT.

a = 2.8392 Å, b = 4.9942 Å, c = 5.5132 Å
α = 96.39°, β = 90.00°, γ = 106.51°
Last column: nearest neighbours and their distance in Å.
Sites, in units of the cell vectors:
Zr  0.5000  0.0000  0.0000  2 Zr 2.84, 6 Ag 2.88-2.98, 4 Cd 3.10
Ag  0.7488  0.4975  0.7520  6 Ag 2.84-3.12, 3 Zr 2.88-2.98, 3 Cd 2.91-2.98
Ag  0.2512  0.5025  0.2480  6 Ag 2.84-3.12, 3 Zr 2.88-2.98, 3 Cd 2.91-2.98
Cd  0.0000  0.0000  0.5000  2 Cd 2.84, 6 Ag 2.91-2.98, 4 Zr 3.10

Values from the calculation:
DFT formation energy (eV/atom): -0.03
Fermi-level density of states (states/eV/f.u.): 1.889
Final energy (eV per atom): -30.994
Density (Mg/m³): 9.35

=====

(4)
Computed, not measured: a PBEsol-optimized structure of LiCrSn2Ge at the meta-GGA SCAN level of DFT.

a = 4.7478 Å, b = 5.0211 Å, c = 5.0211 Å
α = 90.00°, β = 90.00°, γ = 90.00°
Last column: nearest neighbours and their distance in Å.
Sites, in units of the cell vectors:
Cr  0.0000  0.0000  0.0000  2 Li 2.37, 4 Sn 2.51
Ge  0.5000  0.5000  0.5000  8 Sn 3.46, 4 Li 3.55
Sn  0.0000  0.0000  0.5000  2 Cr 2.51
Sn  0.0000  0.5000  0.0000  2 Cr 2.51
Li  0.5000  0.0000  0.0000  2 Cr 2.37

Values from the calculation:
DFT formation energy (eV/atom): 0.51
Fermi-level density of states (states/eV/f.u.): 2.526
Final energy (eV per atom): -21.833
Density (Mg/m³): 5.12

=====

(5)
Computed, not measured: a PBEsol-optimized structure of PIrPb2 at the meta-GGA SCAN level of DFT.

a = 3.2448 Å, b = 3.2469 Å, c = 7.6719 Å
α = 90.00°, β = 90.02°, γ = 90.00°
Last column: nearest neighbours and their distance in Å.
Sites, in units of the cell vectors:
Ir  0.5000  0.5000  0.0000  8 Pb 2.92, 4 Ir 3.24-3.25
P  0.5000  0.5000  0.5000  8 Pb 3.06, 4 P 3.24-3.25
Pb  0.0000  0.0000  0.7647  4 Ir 2.92, 4 P 3.06, 4 Pb 3.24-3.25
Pb  0.0000  0.0000  0.2353  4 Ir 2.92, 4 P 3.06, 4 Pb 3.24-3.25

Values from the calculation:
DFT formation energy (eV/atom): 0.63
Fermi-level density of states (states/eV/f.u.): 1.510
Final energy (eV per atom): -57.637
Density (Mg/m³): 13.10

=====

(6)
Computed, not measured: a PBEsol-optimized structure of NaMg2TiTc at the meta-GGA SCAN level of DFT.

a = 4.4086 Å, b = 5.2523 Å, c = 5.2523 Å
α = 90.00°, β = 90.00°, γ = 90.00°
Last column: nearest neighbours and their distance in Å.
Sites, in units of the cell vectors:
Na  0.5000  0.5000  0.5000  8 Mg 3.43, 4 Ti 3.71
Mg  0.0000  0.0000  0.5000  2 Tc 2.63
Mg  0.0000  0.5000  0.0000  2 Tc 2.63
Tc  0.0000  0.0000  0.0000  2 Ti 2.20
Ti  0.5000  0.0000  0.0000  2 Tc 2.20

Values from the calculation:
DFT formation energy (eV/atom): 0.37
Fermi-level density of states (states/eV/f.u.): 3.039
Final energy (eV per atom): -12.684
Density (Mg/m³): 2.97

=====

(7)
Computed, not measured: a PBEsol-optimized structure of LiSbS2 at the meta-GGA SCAN level of DFT.

a = 5.3662 Å, b = 5.3662 Å, c = 6.6448 Å
α = 113.82°, β = 113.82°, γ = 90.00°
Last column: nearest neighbours and their distance in Å.
Sites, in units of the cell vectors:
Sb  0.0000  0.0000  0.0000  6 S 2.68-2.73
Sb  0.2500  0.7500  0.5000  6 S 2.68-2.73
S  0.0001  0.5001  0.0002  3 Sb 2.68-2.73, 3 Li 2.68-2.73
S  0.2499  0.2499  0.4998  3 Sb 2.68-2.73, 3 Li 2.68-2.73
S  0.4999  0.9999  0.9998  3 Li 2.68-2.73, 3 Sb 2.68-2.73
S  0.7501  0.7501  0.5002  3 Li 2.68-2.73, 3 Sb 2.68-2.73
Li  0.7500  0.2500  0.5000  6 S 2.68-2.73
Li  0.5000  0.5000  0.0000  6 S 2.68-2.73

Values from the calculation:
Fermi-level density of states (states/eV/f.u.): 0.018
Final energy (eV per atom): -15.462
Density (Mg/m³): 4.08
Energy relative to the elements, uncorrected (eV per atom): -0.736

=====

(8)
Computed, not measured: a PBEsol-optimized structure of ZnGaFeO4 at the meta-GGA SCAN level of DFT.

a = 5.8476 Å, b = 5.8360 Å, c = 5.6746 Å
α = 119.09°, β = 90.00°, γ = 120.07°
Last column: nearest neighbours and their distance in Å.
Sites, in units of the cell vectors:
Zn  0.8750  0.7501  0.6250  4 O 1.94-1.98
Zn  0.1250  0.2499  0.3750  4 O 1.94-1.98
Ga  0.5000  0.5000  0.0000  6 O 1.97-2.00
Ga  0.0000  0.5000  0.0000  6 O 1.97-2.00
Fe  0.5000  0.0000  0.5000  6 O 1.93-1.94
Fe  0.5000  0.0000  0.0000  6 O 1.93-1.94
O  0.7359  0.0235  0.7617  2 Fe 1.93, 1 Zn 1.98, 1 Ga 2.00
O  0.2876  0.0235  0.7617  2 Fe 1.93, 1 Zn 1.98, 1 Ga 2.00
O  0.2641  0.9765  0.2383  2 Fe 1.93, 1 Zn 1.98, 1 Ga 2.00
O  0.7124  0.9765  0.2383  2 Fe 1.93, 1 Zn 1.98, 1 Ga 2.00
O  0.7315  0.4629  0.2132  1 Fe 1.94, 1 Zn 1.94, 2 Ga 1.97
O  0.7315  0.4629  0.7497  1 Fe 1.94, 1 Zn 1.94, 2 Ga 1.97
O  0.2685  0.5371  0.7868  1 Fe 1.94, 1 Zn 1.94, 2 Ga 1.97
O  0.2685  0.5371  0.2503  1 Fe 1.94, 1 Zn 1.94, 2 Ga 1.97

Values from the calculation:
Final energy (eV per atom): -12.216
Density (Mg/m³): 6.11
Energy relative to the elements, uncorrected (eV per atom): -1.799

=====

(9)
Computed, not measured: a PBEsol-optimized structure of Zr2ZnFeIr at the meta-GGA SCAN level of DFT.

a = 4.3511 Å, b = 4.5490 Å, c = 4.5490 Å
α = 90.00°, β = 90.00°, γ = 90.00°
Last column: nearest neighbours and their distance in Å.
Sites, in units of the cell vectors:
Zn  0.5000  0.0000  0.0000  2 Fe 2.18
Ir  0.5000  0.5000  0.5000  8 Zr 3.15, 4 Zn 3.22
Fe  0.0000  0.0000  0.0000  2 Zn 2.18, 4 Zr 2.27
Zr  0.0000  0.0000  0.5000  2 Fe 2.27
Zr  0.0000  0.5000  0.0000  2 Fe 2.27

Values from the calculation:
DFT formation energy (eV/atom): 0.32
Fermi-level density of states (states/eV/f.u.): 3.088
Final energy (eV per atom): -32.510
Density (Mg/m³): 9.15

=====

(10)
Computed, not measured: a PBEsol-optimized structure of MgBe2Ag at the meta-GGA SCAN level of DFT.

a = 2.7889 Å, b = 3.8802 Å, c = 5.0727 Å
α = 90.00°, β = 105.96°, γ = 90.00°
Last column: nearest neighbours and their distance in Å.
Sites, in units of the cell vectors:
Be  0.8106  0.0000  0.6213  2 Be 2.21
Be  0.7012  0.5000  0.4024  2 Be 2.21, 2 Ag 2.46
Mg  0.0808  0.0000  0.1617  7 Be 2.64-2.66, 2 Mg 2.79, 4 Ag 2.92
Ag  0.4094  0.5000  0.8187  6 Be 2.46-2.58

Values from the calculation:
DFT formation energy (eV/atom): 0.13
Fermi-level density of states (states/eV/f.u.): 0.721
Final energy (eV per atom): -11.133
Density (Mg/m³): 4.73